VASP calculation (GGA-PBE) on a geometry-optimized PmDy2Er structure.

Geometry as CIF:
```
data_PmDy2Er
_cell_length_a 5.030
_cell_length_b 5.030
_cell_length_c 5.039
_cell_angle_alpha 90.00
_cell_angle_beta 90.00
_cell_angle_gamma 90.00
_space_group_name_H-M_alt 'P 4/m m m'
_space_group_IT_number 123
_space_group_name_Hall '-P 4 2'
loop_
_atom_site_label
_atom_site_type_symbol
_atom_site_fract_x
_atom_site_fract_y
_atom_site_fract_z
Pm1 Pm 0.000 0.000 0.000
Dy1 Dy 0.000 0.500 0.500
Er1 Er 0.500 0.500 0.000
```

Output
calculated formation energy	0.02	eV per atom
crystal system	tetragonal
ΔE to the lowest computed polymorph	0.0048	eV/atom
D(E_F)	5.77	states/eV per cell

VASP calculation (GGA-PBE) on a geometry-optimized Pm6Dy4Er structure.

Geometry as CIF:
```
data_Pm6Dy4Er
_cell_length_a 6.665
_cell_length_b 6.665
_cell_length_c 17.051
_cell_angle_alpha 90.00
_cell_angle_beta 90.00
_cell_angle_gamma 90.00
_space_group_name_H-M_alt 'I -4 2 m'
_space_group_IT_number 121
_space_group_name_Hall 'I -4 2'
loop_
_atom_site_label
_atom_site_type_symbol
_atom_site_fract_x
_atom_site_fract_y
_atom_site_fract_z
Pm1 Pm 0.000 0.500 0.000
Pm2 Pm 0.189 0.189 0.176
Dy1 Dy 0.179 0.179 0.374
Er1 Er 0.000 0.000 0.000
```

Output
calculated formation energy	0.30	eV per atom
crystal system	tetragonal
D(E_F)	33.95	states/eV per cell

VASP calculation (GGA-PBE) on a geometry-optimized Pm3Dy2Er3 structure.

Geometry as CIF:
```
data_Pm3Dy2Er3
_cell_length_a 15.854
_cell_length_b 5.934
_cell_length_c 5.936
_cell_angle_alpha 90.00
_cell_angle_beta 111.99
_cell_angle_gamma 90.00
_space_group_name_H-M_alt 'C 1 2/m 1'
_space_group_IT_number 12
_space_group_name_Hall '-C 2y'
loop_
_atom_site_label
_atom_site_type_symbol
_atom_site_fract_x
_atom_site_fract_y
_atom_site_fract_z
Pm1 Pm 0.000 0.000 0.000
Pm2 Pm 0.128 0.000 0.628
Dy1 Dy 0.248 0.500 0.748
Er1 Er 0.000 0.500 0.500
Er2 Er 0.124 0.500 0.124
```

Output
calculated formation energy	0.13	eV per atom
crystal system	monoclinic
ΔE to the lowest computed polymorph	0.1065	eV/atom
D(E_F)	36.17	states/eV per cell

VASP calculation (GGA-PBE) on a geometry-optimized Pm7Dy4Er structure.

Geometry as CIF:
```
data_Pm7Dy4Er
_cell_length_a 16.150
_cell_length_b 5.972
_cell_length_c 9.359
_cell_angle_alpha 90.00
_cell_angle_beta 116.05
_cell_angle_gamma 90.00
_space_group_name_H-M_alt 'C 1 2/m 1'
_space_group_IT_number 12
_space_group_name_Hall '-C 2y'
loop_
_atom_site_label
_atom_site_type_symbol
_atom_site_fract_x
_atom_site_fract_y
_atom_site_fract_z
Pm1 Pm 0.000 0.000 0.000
Pm2 Pm 0.083 0.500 0.443
Pm3 Pm 0.209 0.500 0.231
Pm4 Pm 0.210 0.500 0.880
Dy1 Dy 0.072 0.000 0.698
Dy2 Dy 0.173 0.000 0.389
Er1 Er 0.000 0.500 0.000
```

Output
calculated formation energy	0.22	eV per atom
crystal system	monoclinic
ΔE to the lowest computed polymorph	0.0000	eV/atom
D(E_F)	38.18	states/eV per cell

VASP calculation (GGA-PBE) on a geometry-optimized Pm4Dy19Er6 structure.

Geometry as CIF:
```
data_Pm4Dy19Er6
_cell_length_a 12.452
_cell_length_b 12.452
_cell_length_c 12.452
_cell_angle_alpha 90.00
_cell_angle_beta 90.00
_cell_angle_gamma 90.00
_space_group_name_H-M_alt 'I 2 3'
_space_group_IT_number 197
_space_group_name_Hall 'I 2 2 3'
loop_
_atom_site_label
_atom_site_type_symbol
_atom_site_fract_x
_atom_site_fract_y
_atom_site_fract_z
Pm1 Pm 0.179 0.179 0.821
Dy1 Dy 0.000 0.000 0.000
Dy2 Dy 0.000 0.000 0.263
Dy3 Dy 0.062 0.265 0.277
Er1 Er 0.000 0.374 0.500
```

Output
calculated formation energy	0.39	eV per atom
crystal system	cubic
D(E_F)	88.21	states/eV per cell

VASP calculation (GGA-PBE) on a geometry-optimized Pm2Dy6Er3 structure.

Geometry as CIF:
```
data_Pm2Dy6Er3
_cell_length_a 4.720
_cell_length_b 4.720
_cell_length_c 33.136
_cell_angle_alpha 90.00
_cell_angle_beta 90.00
_cell_angle_gamma 90.00
_space_group_name_H-M_alt 'I 4/m m m'
_space_group_IT_number 139
_space_group_name_Hall '-I 4 2'
loop_
_atom_site_label
_atom_site_type_symbol
_atom_site_fract_x
_atom_site_fract_y
_atom_site_fract_z
Pm1 Pm 0.000 0.000 0.046
Dy1 Dy 0.000 0.000 0.196
Dy2 Dy 0.000 0.500 0.122
Er1 Er 0.000 0.000 0.299
Er2 Er 0.000 0.000 0.500
```

Output
calculated formation energy	0.28	eV per atom
crystal system	tetragonal
ΔE to the lowest computed polymorph	0.0947	eV/atom
D(E_F)	31.11	states/eV per cell

VASP calculation (GGA-PBE) on a geometry-optimized Pm3Dy3Er2 structure.

Geometry as CIF:
```
data_Pm3Dy3Er2
_cell_length_a 16.273
_cell_length_b 5.715
_cell_length_c 5.996
_cell_angle_alpha 90.00
_cell_angle_beta 110.67
_cell_angle_gamma 90.00
_space_group_name_H-M_alt 'C 1 2/m 1'
_space_group_IT_number 12
_space_group_name_Hall '-C 2y'
loop_
_atom_site_label
_atom_site_type_symbol
_atom_site_fract_x
_atom_site_fract_y
_atom_site_fract_z
Pm1 Pm 0.000 0.000 0.000
Pm2 Pm 0.135 0.000 0.696
Dy1 Dy 0.000 0.500 0.500
Dy2 Dy 0.133 0.500 0.080
Er1 Er 0.250 0.000 0.318
```

Output
calculated formation energy	0.09	eV per atom
crystal system	monoclinic
ΔE to the lowest computed polymorph	0.0645	eV/atom
D(E_F)	27.37	states/eV per cell

VASP calculation (GGA-PBE) on a geometry-optimized Pm3Dy3Er4 structure.

Geometry as CIF:
```
data_Pm3Dy3Er4
_cell_length_a 3.666
_cell_length_b 13.288
_cell_length_c 13.333
_cell_angle_alpha 90.00
_cell_angle_beta 90.00
_cell_angle_gamma 90.00
_space_group_name_H-M_alt 'A m m 2'
_space_group_IT_number 38
_space_group_name_Hall 'A 2 -2'
loop_
_atom_site_label
_atom_site_type_symbol
_atom_site_fract_x
_atom_site_fract_y
_atom_site_fract_z
Pm1 Pm 0.000 0.000 0.000
Pm2 Pm 0.000 0.174 0.673
Dy1 Dy 0.000 0.000 0.348
Dy2 Dy 0.500 0.247 0.422
Er1 Er 0.500 0.000 0.548
Er2 Er 0.500 0.000 0.798
Er3 Er 0.500 0.124 0.175
```

Output
calculated formation energy	0.09	eV per atom
crystal system	orthorhombic
D(E_F)	15.58	states/eV per cell

VASP calculation (GGA-PBE) on a geometry-optimized Pm2Dy3Er9 structure.

Geometry as CIF:
```
data_Pm2Dy3Er9
_cell_length_a 3.505
_cell_length_b 11.138
_cell_length_c 11.582
_cell_angle_alpha 101.20
_cell_angle_beta 97.36
_cell_angle_gamma 91.41
_space_group_name_H-M_alt 'P -1'
_space_group_IT_number 2
_space_group_name_Hall '-P 1'
loop_
_atom_site_label
_atom_site_type_symbol
_atom_site_fract_x
_atom_site_fract_y
_atom_site_fract_z
Pm1 Pm 0.072 0.378 0.221
Dy1 Dy 0.429 0.920 0.854
Dy2 Dy 0.500 0.500 0.500
Er1 Er 0.030 0.793 0.072
Er2 Er 0.186 0.959 0.363
Er3 Er 0.223 0.771 0.559
Er4 Er 0.379 0.323 0.709
Er5 Er 0.500 0.500 0.000
```

Output
calculated formation energy	0.05	eV per atom
crystal system	triclinic
D(E_F)	21.16	states/eV per cell

VASP calculation (GGA-PBE) on a geometry-optimized Pm5Dy3Er structure.

Geometry as CIF:
```
data_Pm5Dy3Er
_cell_length_a 9.253
_cell_length_b 9.253
_cell_length_c 14.293
_cell_angle_alpha 90.00
_cell_angle_beta 90.00
_cell_angle_gamma 90.00
_space_group_name_H-M_alt 'I 4/m c m'
_space_group_IT_number 140
_space_group_name_Hall '-I 4 2c'
loop_
_atom_site_label
_atom_site_type_symbol
_atom_site_fract_x
_atom_site_fract_y
_atom_site_fract_z
Pm1 Pm 0.000 0.000 0.000
Pm2 Pm 0.203 0.297 0.133
Dy1 Dy 0.000 0.000 0.250
Dy2 Dy 0.110 0.390 0.500
Er1 Er 0.000 0.500 0.250
```

Output
calculated formation energy	0.31	eV per atom
crystal system	tetragonal
ΔE to the lowest computed polymorph	0.1402	eV/atom
D(E_F)	51.92	states/eV per cell

Question: Which value of D(E_F) does entry 2 give?
Answer: 33.95 states/eV per cell